MnInTeO5: relaxed, GGA+U.

a b c (Å): 6.4805 6.4805 6.8870
angles (deg): 101.67 101.67 113.36
With the nearest neighbours (Å) after each atom.
Atoms (fractional coordinates):
Mn1 0.0060 0.9940 0.7500  3 O 2.03-2.07
Mn2 0.9940 0.0060 0.2500  3 O 2.03-2.07
In1 0.0000 0.5000 0.5000  4 O 2.06-2.29
In2 0.5000 0.0000 0.0000  4 O 2.06-2.29
Te1 0.5000 0.5000 0.2500  4 O 1.93-2.07
Te2 0.5000 0.5000 0.7500  4 O 1.93-2.07
O1 0.1483 0.2502 0.6118  1 Mn 2.07, 1 Te 2.07
O2 0.1933 0.8067 0.7500  1 Mn 2.03, 2 In 2.06
O3 0.2502 0.1483 0.1118  1 Mn 2.07, 1 Te 2.07
O4 0.3596 0.6067 0.4449  1 Te 1.93
O5 0.3933 0.6404 0.0551  1 Te 1.93
O6 0.6067 0.3596 0.9449  1 Te 1.93
O7 0.6404 0.3933 0.5551  1 Te 1.93
O8 0.7498 0.8517 0.8882  1 Mn 2.07, 1 Te 2.07
O9 0.8067 0.1933 0.2500  1 Mn 2.03, 2 In 2.06
O10 0.8517 0.7498 0.3882  1 Mn 2.07, 1 Te 2.07

For the magnetic moment, the calculation gives 8.477 μB/cell. The symmetry is C2/c, No. 15. The calculation puts the uncorrected energy at -5.9408 eV per atom.